A plane-wave DFT calculation with PBE was carried out for a geometry-optimized LaDy7Sc4 structure.

Computed properties:
* ΔE_f: 2.5 kJ per mole of atoms
* DOS(E_F): 17.36 states/eV per cell
* crystal system: triclinic

Lattice parameters (Å, degrees): 6.0467 6.9830 8.5980 90.04 103.66 90.02
Last column: nearest neighbours and their distance in Å.
Space group P-1 (No. 2)
Symmetry-distinct sites (fractional):
La1 0.0000 0.0000 0.0000  2 Sc 3.49, 10 Dy 3.49-3.53
Dy1 0.0000 0.5000 0.0000  4 Sc 3.44-3.47, 6 Dy 3.45-3.49, 2 La 3.49
Dy2 0.2252 0.0009 0.6616  5 Sc 3.38-3.52, 6 Dy 3.39-3.56, 1 La 3.49
Dy3 0.2846 0.7422 0.3408  6 Sc 3.33-3.60, 5 Dy 3.39-3.56, 1 La 3.52
Dy4 0.4982 0.2564 0.0049  7 Dy 3.40-3.58, 3 Sc 3.44-3.50, 2 La 3.50-3.53
Sc1 0.2152 0.4998 0.6596  4 Sc 3.31-3.52, 8 Dy 3.33-3.50
Sc2 0.2745 0.2570 0.3386  3 Sc 3.33-3.52, 8 Dy 3.35-3.60, 1 La 3.49